VASP calculation (PBE-GGA) on crystalline HgB5Pt8 at its relaxed geometry.

Energy of formation from the pure elements = -133 meV/atom
Calculated density = 16.0 g/cm³
DFT total energy = -0.4404 Ry/atom

Lattice parameters (Å, degrees): 3.4288 6.5343 8.9613 106.78 101.03 90.00
Fractional coordinates of all 14 atoms:
Hg: 0.5000 0.5000 0.0000
B: 0.3002 0.6622 0.6004
B: 0.6998 0.3378 0.3996
B: 0.3402 0.0338 0.6804
B: 0.6598 0.9662 0.3196
B: 0.0000 0.0000 0.0000
Pt: 0.2405 0.1650 0.4809
Pt: 0.7595 0.8350 0.5190
Pt: 0.1690 0.5007 0.3379
Pt: 0.8310 0.4993 0.6621
Pt: 0.0905 0.8309 0.1809
Pt: 0.9095 0.1691 0.8191
Pt: 0.4278 0.8308 0.8556
Pt: 0.5722 0.1692 0.1444